Density functional theory data (PBE with a Hubbard U) for a geometry-optimized CrSbF6 structure.

## Properties
As for the crystal system: trigonal. For the density of states at the Fermi level, the calculation gives 0.00 states/eV/f.u. The final energy comes out at -5.371 eV/atom. The calculation puts the volume at 375.1 Å³/cell.

Cell and atoms, written as CIF:
```
data_CrSbF6
_chemical_formula_sum 'Cr3 Sb3 F18'
_cell_length_a 5.4595
_cell_length_b 5.4595
_cell_length_c 14.5335
_cell_angle_alpha 90.00
_cell_angle_beta 90.00
_cell_angle_gamma 120.00
_space_group_name_H-M_alt 'R -3'
_space_group_IT_number 148
_space_group_name_Hall '-R 3'
loop_
_atom_site_label
_atom_site_type_symbol
_atom_site_fract_x
_atom_site_fract_y
_atom_site_fract_z
Cr1 Cr 0.0000 0.0000 0.0000
Sb1 Sb 0.0000 0.0000 0.5000
F1 F 0.0226 0.6225 0.7449
```